# PBE-GGA Hf3ReAs, optimized geometry
data_Hf3ReAs
_chemical_formula_sum 'Hf3 Re1 As1'
_symmetry_space_group_name_H-M 'P m -3 m'
_symmetry_Int_Tables_number 221
_symmetry_space_group_name_Hall '-P 4 2 3'
_cell_length_a 5.0210
_cell_length_b 5.0210
_cell_length_c 5.0210
_cell_angle_alpha 90.00
_cell_angle_beta 90.00
_cell_angle_gamma 90.00
loop_
_atom_site_label
_atom_site_type_symbol
_atom_site_fract_x
_atom_site_fract_y
_atom_site_fract_z
_atom_site_occupancy
Hf1 Hf 0.0000 0.0000 0.5000 1
Re1 Re 0.0000 0.0000 0.0000 1
As1 As 0.5000 0.5000 0.5000 1
# ΔE_f = 2.85 eV per formula unit
# Excess energy over the best structure of this formula in the dataset = 0 meV/atom


# PBE-GGA Ac2CdCl8, optimized geometry
data_Ac2CdCl8
_chemical_formula_sum 'Ac4 Cd2 Cl16'
_symmetry_space_group_name_H-M 'C 1 2/m 1'
_symmetry_Int_Tables_number 12
_cell_length_a 21.1433
_cell_length_b 4.2489
_cell_length_c 8.0685
_cell_angle_alpha 90.00
_cell_angle_beta 97.90
_cell_angle_gamma 90.00
loop_
_symmetry_equiv_pos_as_xyz
'x,y,z'
'-x,-y,-z'
'-x,y,-z'
'x,-y,z'
'x+1/2,y+1/2,z'
'-x+1/2,-y+1/2,-z'
'-x+1/2,y+1/2,-z'
'x+1/2,-y+1/2,z'
loop_
_atom_site_label
_atom_site_type_symbol
_atom_site_fract_x
_atom_site_fract_y
_atom_site_fract_z
_atom_site_occupancy
Ac1 Ac 0.1547 0.0000 0.3304 1
Cd1 Cd 0.0000 0.5000 0.0000 1
Cl1 Cl 0.0110 0.0000 0.2148 1
Cl2 Cl 0.1064 0.5000 0.5164 1
Cl3 Cl 0.1264 0.5000 0.0544 1
Cl4 Cl 0.2422 0.0000 0.6706 1
# E_form (uncorrected) = -2053 meV/atom


# PBE-GGA Pm4Ni2Ge5, optimized geometry
data_Pm4Ni2Ge5
_chemical_formula_sum 'Pm4 Ni2 Ge5'
_symmetry_space_group_name_H-M 'P 1 2/m 1'
_symmetry_Int_Tables_number 10
_cell_length_a 6.9985
_cell_length_b 4.2250
_cell_length_c 8.1736
_cell_angle_alpha 90.00
_cell_angle_beta 91.95
_cell_angle_gamma 90.00
loop_
_symmetry_equiv_pos_as_xyz
'x,y,z'
'-x,-y,-z'
'-x,y,-z'
'x,-y,z'
loop_
_atom_site_label
_atom_site_type_symbol
_atom_site_fract_x
_atom_site_fract_y
_atom_site_fract_z
_atom_site_occupancy
Pm1 Pm 0.2292 0.0000 0.1334 1
Pm2 Pm 0.2505 0.0000 0.6198 1
Ni1 Ni 0.0764 0.5000 0.3768 1
Ge1 Ge 0.1060 0.5000 0.8723 1
Ge2 Ge 0.4112 0.5000 0.3575 1
Ge3 Ge 0.5000 0.5000 0.0000 1
# ΔE_f = -7.31 eV per formula unit


# PBE-GGA LaNi2W, optimized geometry
data_LaNi2W
_chemical_formula_sum 'La2 Ni4 W2'
_symmetry_space_group_name_H-M 'C m m m'
_symmetry_Int_Tables_number 65
_symmetry_space_group_name_Hall '-C 2 2'
_cell_length_a 5.9591
_cell_length_b 7.5968
_cell_length_c 2.8907
_cell_angle_alpha 90.00
_cell_angle_beta 90.00
_cell_angle_gamma 90.00
loop_
_atom_site_label
_atom_site_type_symbol
_atom_site_fract_x
_atom_site_fract_y
_atom_site_fract_z
_atom_site_occupancy
La1 La 0.0000 0.0000 0.0000 1
Ni1 Ni 0.2500 0.2500 0.5000 1
W1 W 0.0000 0.5000 0.0000 1
# ΔE_f = 1.27 eV per formula unit
# Excess energy over the best structure of this formula in the dataset = 343 meV/atom


# PBE-GGA Pr2Si3Au5, optimized geometry
data_Pr2Si3Au5
_chemical_formula_sum 'Pr2 Si3 Au5'
_symmetry_space_group_name_H-M 'P -4 m 2'
_symmetry_Int_Tables_number 115
_cell_length_a 4.3505
_cell_length_b 4.3505
_cell_length_c 10.8822
_cell_angle_alpha 90.00
_cell_angle_beta 90.00
_cell_angle_gamma 90.00
loop_
_symmetry_equiv_pos_as_xyz
'x,y,z'
'y,-x,-z'
'-x,-y,z'
'-y,x,-z'
'-x,y,z'
'-y,-x,-z'
'x,-y,z'
'y,x,-z'
loop_
_atom_site_label
_atom_site_type_symbol
_atom_site_fract_x
_atom_site_fract_y
_atom_site_fract_z
_atom_site_occupancy
Pr1 Pr 0.0000 0.5000 0.2465 1
Si1 Si 0.0000 0.0000 0.0000 1
Si2 Si 0.0000 0.5000 0.8818 1
Au1 Au 0.0000 0.0000 0.5000 1
Au2 Au 0.0000 0.5000 0.6653 1
Au3 Au 0.5000 0.5000 0.0000 1
Au4 Au 0.5000 0.5000 0.5000 1
# E_form (uncorrected) = -450 meV/atom
# Excess energy over the best structure of this formula in the dataset = 146 meV/atom


# PBE-GGA AcErAs2, optimized geometry
data_AcErAs2
_chemical_formula_sum 'Ac4 Er4 As8'
_symmetry_space_group_name_H-M 'F m -3 m'
_symmetry_Int_Tables_number 225
_symmetry_space_group_name_Hall '-F 4 2 3'
_cell_length_a 7.4343
_cell_length_b 7.4343
_cell_length_c 7.4343
_cell_angle_alpha 90.00
_cell_angle_beta 90.00
_cell_angle_gamma 90.00
loop_
_atom_site_label
_atom_site_type_symbol
_atom_site_fract_x
_atom_site_fract_y
_atom_site_fract_z
_atom_site_occupancy
Ac1 Ac 0.0000 0.0000 0.0000 1
Er1 Er 0.0000 0.0000 0.5000 1
As1 As 0.2500 0.2500 0.2500 1
# ΔE_f = -4.15 eV per formula unit
# Excess energy over the best structure of this formula in the dataset = 421 meV/atom


# PBE-GGA K3Te, optimized geometry
data_K3Te
_chemical_formula_sum 'K9 Te3'
_symmetry_space_group_name_H-M 'R -3 m'
_symmetry_Int_Tables_number 166
_symmetry_space_group_name_Hall '-R 3 2"'
_cell_length_a 11.3198
_cell_length_b 11.3198
_cell_length_c 5.0635
_cell_angle_alpha 90.00
_cell_angle_beta 90.00
_cell_angle_gamma 120.00
loop_
_atom_site_label
_atom_site_type_symbol
_atom_site_fract_x
_atom_site_fract_y
_atom_site_fract_z
_atom_site_occupancy
K1 K 0.0000 0.5000 0.0000 1
Te1 Te 0.0000 0.0000 0.0000 1
# E_form (uncorrected) = -421 meV/atom
# Excess energy over the best structure of this formula in the dataset = 223 meV/atom


# PBE-GGA Tb2PmBiC, optimized geometry
data_Tb2PmBiC
_chemical_formula_sum 'Tb2 Pm1 Bi1 C1'
_symmetry_space_group_name_H-M 'P 4/m m m'
_symmetry_Int_Tables_number 123
_symmetry_space_group_name_Hall '-P 4 2'
_cell_length_a 4.9464
_cell_length_b 4.9464
_cell_length_c 5.1038
_cell_angle_alpha 90.00
_cell_angle_beta 90.00
_cell_angle_gamma 90.00
loop_
_atom_site_label
_atom_site_type_symbol
_atom_site_fract_x
_atom_site_fract_y
_atom_site_fract_z
_atom_site_occupancy
Tb1 Tb 0.0000 0.5000 0.0000 1
Pm1 Pm 0.0000 0.0000 0.5000 1
Bi1 Bi 0.5000 0.5000 0.5000 1
C1 C 0.0000 0.0000 0.0000 1
# ΔE_f = -2.53 eV per formula unit


# PBE-GGA Cd2OsSe, optimized geometry
data_Cd2OsSe
_chemical_formula_sum 'Cd8 Os4 Se4'
_symmetry_space_group_name_H-M 'F -4 3 m'
_symmetry_Int_Tables_number 216
_symmetry_space_group_name_Hall 'F -4 2 3'
_cell_length_a 6.6835
_cell_length_b 6.6835
_cell_length_c 6.6835
_cell_angle_alpha 90.00
_cell_angle_beta 90.00
_cell_angle_gamma 90.00
loop_
_atom_site_label
_atom_site_type_symbol
_atom_site_fract_x
_atom_site_fract_y
_atom_site_fract_z
_atom_site_occupancy
Cd1 Cd 0.0000 0.0000 0.0000 1
Cd2 Cd 0.2500 0.2500 0.2500 1
Os1 Os 0.0000 0.0000 0.5000 1
Se1 Se 0.2500 0.2500 0.7500 1
# E_form (uncorrected) = 739 meV/atom


The calculation returns the following D(E_F) values, one per record and in order: 7.42 0.00 6.61 8.54 4.25 4.61 4.93 3.07 14.14 states/eV/cell.